# Er3Be

Er3Be after structural relaxation (PBE-GGA, the Alexandria database).

```
Er3Be
1.0
3.548 0.000 0.000
0.000 5.103 0.000
-1.774 -2.552 5.520
Er Be
3 1
Cartesian
0.000 2.125 3.250
1.774 2.126 0.000
1.774 -0.427 2.270
0.000 4.681 0.000
```

The calculation puts the total DFT energy (no corrections) at -17.0 eV per cell. As for the formation enthalpy at 0 K: 0.0942 eV/atom. As for the symmetry: Immm, No. 71.